! ZnSb2SI (PBE, relaxed); values from VASP
! - Magnetic moment: 0.0 μB/f.u.
! - Excess energy over the best structure of this formula in the dataset: 0.37 eV per formula unit
! - Symmetry: P4/mmm
! - Formation energy (no corrections): 0.7067 eV/atom
! - Calculated total energy: -2.33 eV per atom
&SYSTEM
  ibrav = 0, nat = 5, ntyp = 4
/
ATOMIC_SPECIES
I 126.90 I.upf
Sb 121.76 Sb.upf
Zn 65.41 Zn.upf
S 32.06 S.upf
CELL_PARAMETERS angstrom
5.3259 0.0000 0.0000
0.0000 5.3259 0.0000
0.0000 0.0000 5.2002
ATOMIC_POSITIONS angstrom
I 0.0000 0.0000 2.6001
Sb 0.0000 2.6630 0.0000
Sb 2.6630 0.0000 0.0000
Zn 0.0000 0.0000 0.0000
S 2.6630 2.6630 2.6001